GeBTe2 | PBE | optimized geometry

abc: 9.1568 9.1568 9.1568
angles: 21.70 21.70 21.70
Positions (direct):
Ge  0.0000  0.0000  0.0000
B  0.5000  0.5000  0.5000
Te  0.1116  0.1116  0.1116
Te  0.8884  0.8884  0.8884

Computed properties:
E above lowest polymorph   0.93 eV/f.u.
Formation energy from raw total energies   0.73 eV/atom
N(E_F)   2.05 states/eV per cell
Space group   R-3m
Crystal system   trigonal
DFT total energy   -14.64 eV/cell